No. 1
The following is a GGA-PBE calculation of crystalline PaZnAg at its relaxed geometry, from Alexandria.

The space group is P-6m2 (No. 187) and the conventional cell measures 4.7521, 4.7521 and 3.1227 Å, with angles of 90.00, 90.00 and 120.00 degrees. The inequivalent atoms are Pa at (0.0000, 0.0000, 0.0000), Zn at (0.6667, 0.3333, 0.5000) and Ag at (0.3333, 0.6667, 0.5000).

As for the distance to the lowest polymorph of the same formula: 0.000 eV/atom. For the density, the calculation gives 10.994 Mg/m³.

No. 2
The following is a GGA-PBE calculation of crystalline Pa2Zn16Ag at its relaxed geometry, from Alexandria.

The space group is R3m (No. 160, hexagonal axes) and the conventional cell measures 8.9858, 8.9858 and 13.2209 Å, with angles of 90.00, 90.00 and 120.00 degrees. The inequivalent atoms are Pa at (0.0000, 0.0000, 0.0000), Pa at (0.0000, 0.0000, 0.3182), Zn at (0.0000, 0.0000, 0.5506), Zn at (0.0001, 0.2960, 0.6589), Zn at (0.0020, 0.5010, 0.1588), Zn at (0.0099, 0.5050, 0.8093), Zn at (0.1711, 0.3421, 0.8417) and Ag at (0.0000, 0.0000, 0.7575).

For the density, the calculation gives 8.710 Mg/m³.

No. 3
The following is a GGA-PBE calculation of crystalline PaZnAg at its relaxed geometry, from Alexandria.

The space group is I4mm (No. 107) and the conventional cell measures 3.056, 3.056 and 12.600 Å, with angles of 90.00, 90.00 and 90.00 degrees. The inequivalent atoms are Pa at (0.000, 0.000, 0.000), Zn at (0.000, 0.000, 0.675) and Ag at (0.000, 0.000, 0.308).

As for the distance to the lowest polymorph of the same formula: 0.034 eV/atom. For the density, the calculation gives 11.409 Mg/m³.

No. 4
The following is a GGA-PBE calculation of crystalline Zr2PaAg at its relaxed geometry, from Alexandria.

The space group is R-3m (No. 166, hexagonal axes) and the conventional cell measures 3.0729, 3.0729 and 33.1079 Å, with angles of 90.00, 90.00 and 120.00 degrees. The inequivalent atoms are Zr at (0.0000, 0.0000, 0.0909), Pa at (0.0000, 0.0000, 0.0000) and Ag at (0.0000, 0.0000, 0.5000).

As for the distance to the lowest polymorph of the same formula: 0.252 eV/atom. For the density, the calculation gives 9.593 Mg/m³.

No. 5
The following is a GGA-PBE calculation of crystalline Zr2PaAg at its relaxed geometry, from Alexandria.

The space group is F-43m (No. 216) and the conventional cell measures 7.112, 7.112 and 7.112 Å, with angles of 90.00, 90.00 and 90.00 degrees. The inequivalent atoms are Zr at (0.000, 0.000, 0.000), Zr at (0.250, 0.250, 0.250), Pa at (0.000, 0.000, 0.500) and Ag at (0.250, 0.250, 0.750).

As for the distance to the lowest polymorph of the same formula: 0.100 eV/atom. For the density, the calculation gives 9.626 Mg/m³.

No. 6
The following is a GGA-PBE calculation of crystalline Zr2PaAg at its relaxed geometry, from Alexandria.

The space group is P4/mmm (No. 123) and the conventional cell measures 5.205, 5.205 and 3.225 Å, with angles of 90.00, 90.00 and 90.00 degrees. The inequivalent atoms are Zr at (0.000, 0.500, 0.000), Pa at (0.000, 0.000, 0.500) and Ag at (0.500, 0.500, 0.500).

As for the distance to the lowest polymorph of the same formula: 0.000 eV/atom. For the density, the calculation gives 9.906 Mg/m³.

No. 7
The following is a GGA-PBE calculation of crystalline Zr2PaAg at its relaxed geometry, from Alexandria.

The space group is P4/mmm (No. 123) and the conventional cell measures 3.574, 3.574 and 6.838 Å, with angles of 90.00, 90.00 and 90.00 degrees. The inequivalent atoms are Zr at (0.000, 0.000, 0.249), Pa at (0.500, 0.500, 0.500) and Ag at (0.500, 0.500, 0.000).

As for the distance to the lowest polymorph of the same formula: 0.010 eV/atom. For the density, the calculation gives 9.911 Mg/m³.

No. 8
The following is a GGA-PBE calculation of crystalline Ag7Pb at its relaxed geometry, from Alexandria.

The space group is Fm-3m (No. 225) and the conventional cell measures 8.506, 8.506 and 8.506 Å, with angles of 90.00, 90.00 and 90.00 degrees. The inequivalent atoms are Ag at (0.000, 0.000, 0.000), Ag at (0.000, 0.250, 0.250) and Pb at (0.000, 0.000, 0.500).

For the density, the calculation gives 10.385 Mg/m³.

No. 9
The following is a GGA-PBE calculation of crystalline Ag2Pb3 at its relaxed geometry, from Alexandria.

The space group is R-3c (No. 167, hexagonal axes) and the conventional cell measures 7.0328, 7.0328 and 19.8008 Å, with angles of 90.00, 90.00 and 120.00 degrees. The inequivalent atoms are Ag at (0.0000, 0.0000, 0.1801) and Pb at (0.0000, 0.3830, 0.2500).

As for the distance to the lowest polymorph of the same formula: 0.067 eV/atom. For the density, the calculation gives 9.836 Mg/m³.

No. 10
The following is a GGA-PBE calculation of crystalline AgPb4 at its relaxed geometry, from Alexandria.

The space group is I4/mmm (No. 139) and the conventional cell measures 4.416, 4.416 and 16.579 Å, with angles of 90.00, 90.00 and 90.00 degrees. The inequivalent atoms are Ag at (0.000, 0.000, 0.000), Pb at (0.000, 0.000, 0.406) and Pb at (0.000, 0.500, 0.250).

As for the distance to the lowest polymorph of the same formula: 0.243 eV/atom. For the density, the calculation gives 9.622 Mg/m³.

No. 11
The following is a GGA-PBE calculation of crystalline AgPb5 at its relaxed geometry, from Alexandria.

The space group is P4/mmm (No. 123) and the conventional cell measures 3.526, 3.526 and 13.967 Å, with angles of 90.00, 90.00 and 90.00 degrees. The inequivalent atoms are Ag at (0.000, 0.000, 0.000), Pb at (0.000, 0.000, 0.320), Pb at (0.500, 0.500, 0.140) and Pb at (0.500, 0.500, 0.500).

As for the distance to the lowest polymorph of the same formula: 0.000 eV/atom. For the density, the calculation gives 10.938 Mg/m³.

No. 12
The following is a GGA-PBE calculation of crystalline AgPb5 at its relaxed geometry, from Alexandria.

The space group is P-62m (No. 189) and the conventional cell measures 6.0144, 6.0144 and 5.6101 Å, with angles of 90.00, 90.00 and 120.00 degrees. The inequivalent atoms are Ag at (0.0000, 0.0000, 0.0000), Pb at (0.0000, 0.6767, 0.5000) and Pb at (0.3333, 0.6667, 0.0000).

As for the distance to the lowest polymorph of the same formula: 0.051 eV/atom. For the density, the calculation gives 10.808 Mg/m³.

Quick rundown of DFT formation energy, same order as above: 0.01; -0.11; 0.04; 0.29; 0.14; 0.04; 0.05; 0.09; 0.17; 0.29; 0.03; 0.08 eV/atom